Record 1
Nd4FeI5 after structural relaxation. Source: the Alexandria database, functional PBE-GGA.

**DFT total energy**: -4.52 eV per atom
**SG**: No. 12
**ρ**: 5.57 g/cm³
**Uncorrected formation energy**: -995 meV per atom
**DOS(E_F)**: 0.646 states/eV/atom

Unit cell a=4.247 b=9.405 c=9.964 alpha=103.23 beta=102.30 gamma=90.00
Sites, in units of the cell vectors:
Nd (0.632, 0.067, 0.264)
Nd (0.000, 0.216, 0.999)
Nd (0.368, 0.933, 0.736)
Nd (0.000, 0.784, 0.001)
Fe (0.500, 0.000, 0.000)
I (0.167, 0.332, 0.335)
I (0.171, 0.836, 0.343)
I (0.829, 0.164, 0.657)
I (0.500, 0.500, 0.000)
I (0.833, 0.668, 0.665)

***

Record 2
NdFe2I8 after structural relaxation. Source: the Alexandria database, functional PBE-GGA.

**DFT total energy**: -3.69 eV per atom
**SG**: No. 12
**ρ**: 3.86 g/cm³
**Uncorrected formation energy**: -595 meV per atom
**DOS(E_F)**: 0.324 states/eV/atom

Unit cell a=7.063 b=8.851 c=8.851 alpha=81.95 beta=87.60 gamma=87.60
Sites, in units of the cell vectors:
I (0.242, 0.289, 0.917)
I (0.758, 0.083, 0.711)
I (0.279, 0.804, 0.804)
I (0.721, 0.196, 0.196)
I (0.242, 0.917, 0.289)
I (0.758, 0.711, 0.083)
I (0.773, 0.625, 0.625)
I (0.227, 0.375, 0.375)
Nd (0.000, 0.000, 0.000)
Fe (0.650, 0.804, 0.804)
Fe (0.350, 0.196, 0.196)